Entry 1:
AsC: relaxed, GGA-PBE.

Properties
M_tot = 0.0 μB per formula unit
V = 16.80 Å³ per atom
formation energy = 0.789 eV per atom
space-group type = Cmcm

Unit cell a=7.0254 b=7.0254 c=2.6281 alpha=90.00 beta=90.00 gamma=148.80
With the nearest neighbours (Å) after each atom.
Positions (direct):
As 0.1944 0.8056 0.7500  6 As 2.63-2.75
As 0.8056 0.1944 0.2500  6 As 2.63-2.75
C 0.4969 0.5031 0.2500  2 C 1.32
C 0.5031 0.4969 0.7500  2 C 1.32

---

Entry 2:
As4C: relaxed, GGA-PBE.

Properties
M_tot = 0.0 μB per formula unit
V = 17.00 Å³ per atom
formation energy = 1.081 eV per atom
space-group type = Pm-3m

Unit cell a=4.3972 b=4.3972 c=4.3972 alpha=90.00 beta=90.00 gamma=90.00
With the nearest neighbours (Å) after each atom.
Positions (direct):
As 0.0000 0.0000 0.0000  12 As 3.11
As 0.0000 0.5000 0.5000  2 C 2.20
As 0.5000 0.0000 0.5000  2 C 2.20
As 0.5000 0.5000 0.0000  2 C 2.20
C 0.5000 0.5000 0.5000  6 As 2.20